Computed, not measured: an optimized crystal structure of TmH3O3 at the GGA-PBE level of DFT.

E in eV/atom: -6.1735
Energy above the lowest structure with this stoichiometry in meV/atom: 0

abc: 5.0326 10.4334 5.8672
angles: 90.00 98.19 90.00
Space group P2_1/c (No. 14)
Asymmetric unit:
Tm1 0.0636 0.1584 0.1005 (multiplicity 4)
H1 0.1862 0.5750 0.8329 (multiplicity 4)
H2 0.3512 0.6972 0.1209 (multiplicity 4)
H3 0.4508 0.1439 0.8027 (multiplicity 4)
O1 0.1574 0.6759 0.0946 (multiplicity 4)
O2 0.1964 0.5408 0.6765 (multiplicity 4)
O3 0.3292 0.2119 0.8404 (multiplicity 4)

***

Computed, not measured: an optimized crystal structure of UHO at the GGA-PBE level of DFT.

E in eV/atom: -7.7896
Energy above the lowest structure with this stoichiometry in meV/atom: 488

abc: 5.2071 5.7191 5.2875
angles: 90.00 90.00 90.00
Space group Imma (No. 74)
Asymmetric unit:
U1 0.0000 0.0000 0.0000 (multiplicity 4)
H1 0.0000 0.2500 0.3145 (multiplicity 4)
O1 0.2500 0.2500 0.7500 (multiplicity 4)

***

Computed, not measured: an optimized crystal structure of UHO2 at the GGA-PBE level of DFT.

E in eV/atom: -6.9809

abc: 3.5586 3.5586 22.1301
angles: 90.00 90.00 120.00
Space group R-3m (No. 166, hexagonal axes)
Asymmetric unit:
U1 0.0000 0.0000 0.0000 (multiplicity 3)
H1 0.0000 0.0000 0.5000 (multiplicity 3)
O1 0.0000 0.0000 0.0805 (multiplicity 6)

***

Computed, not measured: an optimized crystal structure of UHO at the GGA-PBE level of DFT.

E in eV/atom: -8.2772
Energy above the lowest structure with this stoichiometry in meV/atom: 0

abc: 5.3655 5.3655 5.3655
angles: 90.00 90.00 90.00
Space group F-43m (No. 216)
Asymmetric unit:
U1 0.0000 0.0000 0.0000 (multiplicity 4)
H1 0.2500 0.2500 0.2500 (multiplicity 4)
O1 0.2500 0.2500 0.7500 (multiplicity 4)

***

Computed, not measured: an optimized crystal structure of UH2O4 at the GGA-PBE level of DFT.

E in eV/atom: -7.3969
Energy above the lowest structure with this stoichiometry in meV/atom: 190

abc: 6.6796 5.6984 5.9722
angles: 90.00 108.66 90.00
Space group Cm (No. 8)
Asymmetric unit:
U1 0.0000 0.0000 0.0000 (multiplicity 2)
H1 0.0222 0.0000 0.4757 (multiplicity 2)
H2 0.3440 0.0000 0.0038 (multiplicity 2)
O1 0.0952 0.0000 0.3483 (multiplicity 2)
O2 0.2973 0.2087 0.0051 (multiplicity 4)
O3 0.4174 0.5000 0.6720 (multiplicity 2)

***

Computed, not measured: an optimized crystal structure of UH2O4 at the GGA-PBE level of DFT.

E in eV/atom: -7.5087
Energy above the lowest structure with this stoichiometry in meV/atom: 79

abc: 5.6101 5.5087 5.9932
angles: 90.00 112.92 90.00
Space group P2_1/c (No. 14)
Asymmetric unit:
U1 0.0000 0.0000 0.0000 (multiplicity 2)
H1 0.4743 0.1623 0.8502 (multiplicity 4)
O1 0.1301 0.2036 0.8006 (multiplicity 4)
O2 0.3539 0.6612 0.6612 (multiplicity 4)

***

Computed, not measured: an optimized crystal structure of UH2O4 at the GGA-PBE level of DFT.

E in eV/atom: -7.5874
Energy above the lowest structure with this stoichiometry in meV/atom: 0

abc: 5.8886 6.1564 9.9004
angles: 90.00 90.00 90.00
Space group Pbca (No. 61)
Asymmetric unit:
U1 0.0000 0.0000 0.0000 (multiplicity 4)
H1 0.1575 0.1599 0.3279 (multiplicity 8)
O1 0.1287 0.0368 0.1666 (multiplicity 8)
O2 0.1868 0.1990 0.4240 (multiplicity 8)

***

Computed, not measured: an optimized crystal structure of UH8O8 at the GGA-PBE level of DFT.

E in eV/atom: -6.0164

abc: 13.9185 6.8637 8.5404
angles: 90.00 122.52 90.00
Space group C2/c (No. 15)
Asymmetric unit:
U1 0.0000 0.0000 0.0000 (multiplicity 4)
H1 0.0991 0.4189 0.4279 (multiplicity 8)
H2 0.1184 0.3583 0.8988 (multiplicity 8)
H3 0.2425 0.4840 0.3713 (multiplicity 8)
H4 0.2439 0.4795 0.1836 (multiplicity 8)
O1 0.0008 0.2497 0.0758 (multiplicity 8)
O2 0.0619 0.1221 0.8052 (multiplicity 8)
O3 0.1585 0.4837 0.9528 (multiplicity 8)
O4 0.2061 0.0154 0.6774 (multiplicity 8)

***

Computed, not measured: an optimized crystal structure of UH2O4 at the GGA-PBE level of DFT.

E in eV/atom: -7.5592
Energy above the lowest structure with this stoichiometry in meV/atom: 28

abc: 11.4607 4.1703 4.1616
angles: 90.00 92.46 90.00
Space group C2 (No. 5)
Asymmetric unit:
U1 0.0000 0.0000 0.0000 (multiplicity 2)
H1 0.2355 0.8067 0.0036 (multiplicity 4)
O1 0.0000 0.5047 0.0000 (multiplicity 2)
O2 0.0000 0.9985 0.5000 (multiplicity 2)
O3 0.1831 0.0050 0.0170 (multiplicity 4)

***

Computed, not measured: an optimized crystal structure of UH2O4 at the GGA-PBE level of DFT.

E in eV/atom: -7.5315
Energy above the lowest structure with this stoichiometry in meV/atom: 56

abc: 5.6182 6.0615 11.1185
angles: 90.00 90.00 90.00
Space group Pbca (No. 61)
Asymmetric unit:
U1 0.0000 0.0000 0.0000 (multiplicity 4)
H1 0.0856 0.0467 0.2385 (multiplicity 8)
O1 0.0491 0.9996 0.8124 (multiplicity 8)
O2 0.2217 0.6837 0.0169 (multiplicity 8)

***

Computed, not measured: an optimized crystal structure of UH2O4 at the GGA-PBE level of DFT.

E in eV/atom: -7.5513
Energy above the lowest structure with this stoichiometry in meV/atom: 36

abc: 4.2438 10.3559 6.9637
angles: 90.00 90.00 90.00
Space group Cmce (No. 64)
Asymmetric unit:
U1 0.0000 0.0000 0.0000 (multiplicity 4)
H1 0.0000 0.1654 0.3570 (multiplicity 8)
O1 0.0000 0.0696 0.3500 (multiplicity 8)
O2 0.0000 0.1628 0.9030 (multiplicity 8)

***

Computed, not measured: an optimized crystal structure of UHO at the GGA-PBE level of DFT.

E in eV/atom: -7.9421
Energy above the lowest structure with this stoichiometry in meV/atom: 335

abc: 3.7889 3.7889 3.3109
angles: 90.00 90.00 120.00
Space group P-6m2 (No. 187)
Asymmetric unit:
U1 0.0000 0.0000 0.0000 (multiplicity 1)
H1 0.6667 0.3333 0.5000 (multiplicity 1)
O1 0.3333 0.6667 0.0000 (multiplicity 1)

***

Computed, not measured: an optimized crystal structure of UH2O4 at the GGA-PBE level of DFT.

E in eV/atom: -7.5138
Energy above the lowest structure with this stoichiometry in meV/atom: 74

abc: 5.9795 11.2098 5.7840
angles: 90.00 90.00 90.00
Space group Fmm2 (No. 42)
Asymmetric unit:
U1 0.0000 0.0000 0.0000 (multiplicity 4)
H1 0.0000 0.2357 0.8651 (multiplicity 8)
O1 0.0000 0.1869 0.0068 (multiplicity 8)
O2 0.2472 0.0000 0.7526 (multiplicity 8)

***

Computed, not measured: an optimized crystal structure of UZnH2O6 at the GGA-PBE level of DFT.

E in eV/atom: -6.4747

abc: 5.1198 5.1388 5.5237
angles: 63.43 67.77 66.06
Space group P-1 (No. 2)
Asymmetric unit:
U1 0.0000 0.0000 0.0000 (multiplicity 1)
Zn1 0.5000 0.5000 0.5000 (multiplicity 1)
H1 0.4077 0.2138 0.2822 (multiplicity 2)
O1 0.1309 0.3564 0.7515 (multiplicity 2)
O2 0.2521 0.8875 0.2416 (multiplicity 2)
O3 0.4096 0.7470 0.7421 (multiplicity 2)